# ScZn3H | Alexandria via LeMat-Bulk | PBE | relaxed
data_ScZn3H
_cell_length_a 4.1373
_cell_length_b 4.1373
_cell_length_c 4.1373
_cell_angle_alpha 90.00
_cell_angle_beta 90.00
_cell_angle_gamma 90.00
_space_group_name_H-M_alt 'P 1'
_space_group_IT_number 1
_space_group_name_Hall 'P 1'
loop_
_atom_site_label
_atom_site_fract_x
_atom_site_fract_y
_atom_site_fract_z
_atom_site_occupancy
Sc1 0.5000 0.5000 0.5000 1
H1 0.0000 0.0000 0.0000 1
Zn1 0.0000 0.0000 0.5000 1
Zn2 0.5000 0.0000 0.0000 1
Zn3 0.0000 0.5000 0.0000 1
# - SG: No. 221

# AcMg2Ga | Alexandria via LeMat-Bulk | PBE | relaxed
data_AcMg2Ga
_cell_length_a 5.1424
_cell_length_b 4.6637
_cell_length_c 4.6637
_cell_angle_alpha 90.00
_cell_angle_beta 90.00
_cell_angle_gamma 90.00
_space_group_name_H-M_alt 'P 1'
_space_group_IT_number 1
_space_group_name_Hall 'P 1'
loop_
_atom_site_label
_atom_site_fract_x
_atom_site_fract_y
_atom_site_fract_z
_atom_site_occupancy
Mg1 0.0000 0.0000 0.5000 1
Mg2 0.0000 0.5000 0.0000 1
Ac1 0.5000 0.5000 0.5000 1
Ga1 0.5000 0.0000 0.0000 1
# - SG: No. 123
# - E above lowest polymorph: 0.1164 eV/atom
# - Energy relative to the elements: -14.2 kJ per mole of atoms

# Ce2HgH2 | Alexandria via LeMat-Bulk | PBE | relaxed
data_Ce2HgH2
_cell_length_a 3.9359
_cell_length_b 3.9359
_cell_length_c 6.7583
_cell_angle_alpha 106.93
_cell_angle_beta 106.93
_cell_angle_gamma 90.00
_space_group_name_H-M_alt 'P 1'
_space_group_IT_number 1
_space_group_name_Hall 'P 1'
loop_
_atom_site_label
_atom_site_fract_x
_atom_site_fract_y
_atom_site_fract_z
_atom_site_occupancy
Ce1 0.6484 0.6484 0.2967 1
Ce2 0.3516 0.3516 0.7033 1
H1 0.2500 0.7500 0.5000 1
H2 0.7500 0.2500 0.5000 1
Hg1 0.0000 0.0000 0.0000 1
# - SG: No. 139
# - E above lowest polymorph: 0.0000 eV/atom

# Pu2Cu2Rh3 | Alexandria via LeMat-Bulk | PBE | relaxed
data_Pu2Cu2Rh3
_cell_length_a 4.2897
_cell_length_b 5.1429
_cell_length_c 6.4613
_cell_angle_alpha 106.46
_cell_angle_beta 90.00
_cell_angle_gamma 114.65
_space_group_name_H-M_alt 'P 1'
_space_group_IT_number 1
_space_group_name_Hall 'P 1'
loop_
_atom_site_label
_atom_site_fract_x
_atom_site_fract_y
_atom_site_fract_z
_atom_site_occupancy
Pu1 0.3596 0.7193 0.2187 1
Pu2 0.6404 0.2807 0.7813 1
Rh1 0.0000 0.0000 0.0000 1
Rh2 0.6589 0.3178 0.2329 1
Rh3 0.3411 0.6822 0.7671 1
Cu1 0.8912 0.7824 0.5723 1
Cu2 0.1088 0.2176 0.4277 1
# - SG: No. 12
# - Energy relative to the elements: -25.5 kJ per mole of atoms

# HoBe2Pt6 | Alexandria via LeMat-Bulk | PBE | relaxed
data_HoBe2Pt6
_cell_length_a 7.6500
_cell_length_b 7.6500
_cell_length_c 7.6500
_cell_angle_alpha 60.00
_cell_angle_beta 60.00
_cell_angle_gamma 60.00
_space_group_name_H-M_alt 'P 1'
_space_group_IT_number 1
_space_group_name_Hall 'P 1'
loop_
_atom_site_label
_atom_site_fract_x
_atom_site_fract_y
_atom_site_fract_z
_atom_site_occupancy
Be1 0.1250 0.1250 0.1250 1
Be2 0.1250 0.1250 0.6250 1
Be3 0.6250 0.1250 0.1250 1
Be4 0.1250 0.6250 0.1250 1
Pt1 0.4905 0.0095 0.0095 1
Pt2 0.7595 0.7595 0.2405 1
Pt3 0.2405 0.7595 0.7595 1
Pt4 0.2405 0.2405 0.7595 1
Pt5 0.7595 0.2405 0.7595 1
Pt6 0.7595 0.2405 0.2405 1
Pt7 0.4905 0.4905 0.0095 1
Pt8 0.2405 0.7595 0.2405 1
Pt9 0.0095 0.4905 0.4905 1
Pt10 0.0095 0.4905 0.0095 1
Pt11 0.4905 0.0095 0.4905 1
Pt12 0.0095 0.0095 0.4905 1
Ho1 0.5000 0.5000 0.5000 1
Ho2 0.7500 0.7500 0.7500 1
# - SG: No. 227
# - Energy relative to the elements: -45.8 kJ per mole of atoms

# Li7CaPd5 | Alexandria via LeMat-Bulk | PBE | relaxed
data_Li7CaPd5
_cell_length_a 5.4566
_cell_length_b 6.8321
_cell_length_c 6.8321
_cell_angle_alpha 83.05
_cell_angle_beta 66.46
_cell_angle_gamma 66.46
_space_group_name_H-M_alt 'P 1'
_space_group_IT_number 1
_space_group_name_Hall 'P 1'
loop_
_atom_site_label
_atom_site_fract_x
_atom_site_fract_y
_atom_site_fract_z
_atom_site_occupancy
Li1 0.2748 0.2252 0.2252 1
Li2 0.3432 0.6568 0.6568 1
Li3 0.9911 0.3563 0.6616 1
Li4 0.5034 0.7857 0.2076 1
Li5 0.9911 0.6616 0.3563 1
Li6 0.6625 0.3375 0.3375 1
Li7 0.5034 0.2076 0.7857 1
Ca1 0.0109 0.9891 0.9891 1
Pd1 0.4974 0.0083 0.4920 1
Pd2 0.7204 0.7796 0.7796 1
Pd3 0.0023 0.0083 0.4920 1
Pd4 0.4974 0.4920 0.0083 1
Pd5 0.0023 0.4920 0.0083 1
# - SG: No. 44
# - Energy relative to the elements: -39.8 kJ per mole of atoms

# Fe2NiAu | Alexandria via LeMat-Bulk | PBE | relaxed
data_Fe2NiAu
_cell_length_a 3.0061
_cell_length_b 3.0061
_cell_length_c 5.9049
_cell_angle_alpha 90.00
_cell_angle_beta 90.00
_cell_angle_gamma 90.00
_space_group_name_H-M_alt 'P 1'
_space_group_IT_number 1
_space_group_name_Hall 'P 1'
loop_
_atom_site_label
_atom_site_fract_x
_atom_site_fract_y
_atom_site_fract_z
_atom_site_occupancy
Fe1 0.5000 0.5000 0.2588 1
Fe2 0.0000 0.0000 0.0295 1
Au1 0.5000 0.5000 0.7475 1
Ni1 0.0000 0.0000 0.4642 1
# - SG: No. 99
# - E above lowest polymorph: 0.0038 eV/atom
# - Energy relative to the elements: 6.3 kJ per mole of atoms

# Li2TaP | Alexandria via LeMat-Bulk | PBE | relaxed
data_Li2TaP
_cell_length_a 9.2669
_cell_length_b 9.2669
_cell_length_c 9.2669
_cell_angle_alpha 18.37
_cell_angle_beta 18.37
_cell_angle_gamma 18.37
_space_group_name_H-M_alt 'P 1'
_space_group_IT_number 1
_space_group_name_Hall 'P 1'
loop_
_atom_site_label
_atom_site_fract_x
_atom_site_fract_y
_atom_site_fract_z
_atom_site_occupancy
Ta1 0.7606 0.7606 0.7606 1
P1 0.4988 0.4988 0.4988 1
Li1 0.2382 0.2382 0.2382 1
Li2 0.0024 0.0024 0.0024 1
# - SG: No. 160
# - Energy relative to the elements: -2.3 kJ per mole of atoms

| no. | electronic total energy (eV per atom) |
| --- | --- |
| 1 | -2.638 |
| 2 | -2.729 |
| 3 | -4.217 |
| 4 | -8.680 |
| 5 | -5.838 |
| 6 | -3.594 |
| 7 | -6.431 |
| 8 | -5.297 |